Below is a relaxed structure of Ca2Ga2Te, with properties calculated at the GGA-PBE level.

Results
The energy relative to the lowest polymorph listed for this composition comes out at 0 meV/atom. The value obtained for the uncorrected formation energy is -0.557 eV/atom. For the total energy, the calculation gives -0.1175 Ha/atom. The value obtained for the density of states at the Fermi level is 3.03 states/eV/f.u. As for the spin magnetization: 0.00 μB per formula unit.

abc: 7.8006 7.8006 4.3343
angles: 90.00 90.00 90.00
Positions (direct):
1 Ca 0.1774 0.3226 0.0000
2 Ca 0.3226 0.8226 0.0000
3 Ca 0.6774 0.1774 0.0000
4 Ca 0.8226 0.6774 0.0000
5 Ga 0.1166 0.6166 0.5000
6 Ga 0.3834 0.1166 0.5000
7 Ga 0.6166 0.8834 0.5000
8 Ga 0.8834 0.3834 0.5000
9 Te 0.0000 0.0000 0.5000
10 Te 0.5000 0.5000 0.5000